VASP calculation (PBE-GGA) on a geometry-optimized CaSiCl2 structure. Values from VASP.

The structure in Quantum ESPRESSO input format:
```
&SYSTEM
  ibrav = 0, nat = 4, ntyp = 3
/
ATOMIC_SPECIES
Ca 40.08 Ca.upf
Si 28.09 Si.upf
Cl 35.45 Cl.upf
CELL_PARAMETERS angstrom
3.298 0.000 0.000
0.000 3.298 0.000
0.000 0.000 12.153
ATOMIC_POSITIONS angstrom
Ca 0.000 0.000 0.000
Si 0.000 0.000 6.077
Cl 1.649 1.649 1.595
Cl 1.649 1.649 10.559
```

Calculated values
energy relative to the elements, uncorrected	-0.90	eV per atom
N(E_F)	1.69	states/eV per cell
density	1.75	Mg/m³
raw total energy	-0.2702	Ry/atom
energy above the lowest structure with this stoichiometry	0.047	eV per atom